Below is CaErMgGa after structural relaxation, with properties calculated at the GGA-PBE level.

The value obtained for the density is 5.0 g/cm³. The formation energy is -0.28 eV per atom. The volume comes out at 100.74 Å³ per cell. For the density of states at the Fermi level, the calculation gives 0.4807 states/eV per atom. The total energy is -12.3 eV/cell.

Lattice parameters (Å, degrees): 5.223 5.223 5.223 60.00 60.00 60.00
Positions (direct):
Er 0.500 0.500 0.500
Ca 0.000 0.000 0.000
Ga 0.750 0.750 0.750
Mg 0.250 0.250 0.250